(1)
First-principles (GGA-PBE) data for a relaxed CaS3Cl crystal, as listed in Alexandria.

## Properties
The calculation puts the energy above the lowest structure with this stoichiometry at 0.00 eV/f.u. The value obtained for the formation energy from raw total energies is 0.00 eV/atom. As for the space group: No. 221. As for the crystal system: cubic.

a = 4.7400 Å, b = 4.7400 Å, c = 4.7400 Å
α = 90.00°, β = 90.00°, γ = 90.00°
Sites, in units of the cell vectors:
S  0.5000  0.0000  0.0000
S  0.0000  0.5000  0.0000
S  0.0000  0.0000  0.5000
Cl  0.0000  0.0000  0.0000
Ca  0.5000  0.5000  0.5000

***

(2)
First-principles (GGA-PBE) data for a relaxed RuIBr2 crystal, as listed in Alexandria.

## Properties
The calculation puts the energy above the lowest structure with this stoichiometry at 0.43 eV/f.u. The value obtained for the formation energy from raw total energies is 0.05 eV/atom. As for the space group: No. 166. As for the crystal system: trigonal.

a = 11.3255 Å, b = 11.3255 Å, c = 11.3255 Å
α = 18.83°, β = 18.83°, γ = 18.83°
Sites, in units of the cell vectors:
Ru  0.5000  0.5000  0.5000
I  0.0000  0.0000  0.0000
Br  0.8739  0.8739  0.8739
Br  0.1261  0.1261  0.1261

***

(3)
First-principles (GGA-PBE) data for a relaxed CdCu2Ir crystal, as listed in Alexandria.

## Properties
As for the space group: No. 166. As for the crystal system: trigonal. The energy relative to the elements is 0.146 eV/atom.

a = 9.0386 Å, b = 9.0386 Å, c = 9.0386 Å
α = 17.64°, β = 17.64°, γ = 17.64°
Sites, in units of the cell vectors:
Ir  0.2500  0.2500  0.2500
Cu  0.9958  0.9958  0.9958
Cu  0.5042  0.5042  0.5042
Cd  0.7500  0.7500  0.7500

***

(4)
First-principles (GGA-PBE) data for a relaxed SrInGa2W crystal, as listed in Alexandria.

## Properties
As for the space group: No. 123. As for the crystal system: tetragonal. The energy relative to the elements is 1.406 eV/atom.

a = 5.1667 Å, b = 6.0944 Å, c = 5.1667 Å
α = 90.00°, β = 90.00°, γ = 90.00°
Sites, in units of the cell vectors:
Ga  0.0000  0.0000  0.5000
Ga  0.5000  0.0000  0.0000
W  0.5000  0.5000  0.5000
In  0.0000  0.0000  0.0000
Sr  0.0000  0.5000  0.0000

***

(5)
First-principles (GGA-PBE) data for a relaxed Be2AsW crystal, as listed in Alexandria.

## Properties
As for the space group: No. 122. As for the crystal system: tetragonal. The energy relative to the elements is 0.614 eV/atom.

a = 6.4769 Å, b = 6.4769 Å, c = 5.2209 Å
α = 51.66°, β = 51.66°, γ = 90.00°
Sites, in units of the cell vectors:
As  0.2500  0.7500  0.5000
As  0.5000  0.5000  0.0000
Be  0.1522  0.6250  0.2500
Be  0.5978  0.1250  0.2500
Be  0.8750  0.8478  0.7500
Be  0.3750  0.4022  0.7500
W  0.7500  0.2500  0.5000
W  0.0000  0.0000  0.0000

***

(6)
First-principles (GGA-PBE) data for a relaxed KTa2Sb crystal, as listed in Alexandria.

## Properties
The value obtained for the formation energy from raw total energies is 0.74 eV/atom. As for the space group: No. 12. As for the crystal system: monoclinic.

a = 6.5512 Å, b = 6.5512 Å, c = 5.9146 Å
α = 70.68°, β = 70.68°, γ = 26.34°
Sites, in units of the cell vectors:
Ta  0.0423  0.0423  0.8921
Ta  0.4577  0.4577  0.6079
K  0.2500  0.2500  0.2500
Sb  0.7500  0.7500  0.7500